(1)
Entry from Alexandria via LeMat-Bulk: a relaxed structure of U2Si3SnPt4 (PBE).

abc: 4.120 4.120 10.863
angles: 90.00 90.00 90.00
Fractional positions:
U: 0.000 0.500 0.235
U: 0.500 0.000 0.765
Si: 0.000 0.500 0.872
Si: 0.500 0.000 0.128
Si: 0.500 0.500 0.500
Sn: 0.000 0.000 0.500
Pt: 0.000 0.000 0.000
Pt: 0.000 0.500 0.654
Pt: 0.500 0.000 0.346
Pt: 0.500 0.500 0.000

The total energy is -7.352 eV/atom. Its space-group type is P-4m2 (115).


(2)
Entry from Alexandria via LeMat-Bulk: a relaxed structure of BaTlBi2H (PBE).

abc: 5.094 5.094 5.429
angles: 90.00 90.00 90.00
Fractional positions:
Ba: 0.000 0.000 0.000
Tl: 0.500 0.500 0.000
Bi: 0.000 0.500 0.500
Bi: 0.500 0.000 0.500
H: 0.500 0.500 0.500

The total energy is -3.289 eV/atom. Its space-group type is P4/mmm (123).


(3)
Entry from Alexandria via LeMat-Bulk: a relaxed structure of HfSbPS2 (PBE).

abc: 4.859 4.859 4.982
angles: 90.00 90.00 90.00
Fractional positions:
Hf: 0.000 0.000 0.000
Sb: 0.500 0.500 0.500
P: 0.500 0.500 0.000
S: 0.000 0.500 0.500
S: 0.500 0.000 0.500

The total energy is -4.899 eV/atom. Its space-group type is P4/mmm (123).


(4)
Entry from Alexandria via LeMat-Bulk: a relaxed structure of LiMg3Zr (PBE).

abc: 4.970 4.970 10.645
angles: 103.34 103.34 59.95
Fractional positions:
Li: 0.046 0.046 0.137
Li: 0.954 0.954 0.863
Mg: 0.249 0.249 0.748
Mg: 0.352 0.352 0.055
Mg: 0.451 0.451 0.354
Mg: 0.549 0.549 0.646
Mg: 0.648 0.648 0.945
Mg: 0.751 0.751 0.252
Zr: 0.148 0.148 0.446
Zr: 0.852 0.852 0.554

For the calculated formation energy, the calculation gives 0.35 eV/f.u. The total energy is -2.979 eV/atom. Its space-group type is C2/m (12).


(5)
Entry from Alexandria via LeMat-Bulk: a relaxed structure of La5Ag (PBE).

abc: 6.448 6.448 5.945
angles: 90.00 90.00 120.00
Fractional positions:
La: 0.000 0.500 0.000
La: 0.333 0.667 0.500
La: 0.500 0.000 0.000
La: 0.500 0.500 0.000
La: 0.667 0.333 0.500
Ag: 0.000 0.000 0.500

For the calculated formation energy, the calculation gives 2.90 eV/f.u. The total energy is -4.097 eV/atom. Its space-group type is P6/mmm (191).


(6)
Entry from Alexandria via LeMat-Bulk: a relaxed structure of LiSmSn4Pd2 (PBE).

abc: 10.057 10.057 10.057
angles: 26.38 26.38 26.38
Fractional positions:
Li: 0.000 0.000 0.000
Sm: 0.500 0.500 0.500
Sn: 0.107 0.107 0.107
Sn: 0.376 0.376 0.376
Sn: 0.624 0.624 0.624
Sn: 0.893 0.893 0.893
Pd: 0.255 0.255 0.255
Pd: 0.745 0.745 0.745

For the calculated formation energy, the calculation gives -4.12 eV/f.u. The total energy is -4.644 eV/atom. Its space-group type is R-3m (166).


(7)
Entry from Alexandria via LeMat-Bulk: a relaxed structure of Ta2Fe2As (PBE).

abc: 7.047 7.047 2.990
angles: 90.00 90.00 90.00
Fractional positions:
Ta: 0.160 0.340 0.000
Ta: 0.340 0.840 0.000
Ta: 0.660 0.160 0.000
Ta: 0.840 0.660 0.000
Fe: 0.132 0.632 0.500
Fe: 0.368 0.132 0.500
Fe: 0.632 0.868 0.500
Fe: 0.868 0.368 0.500
As: 0.000 0.000 0.500
As: 0.500 0.500 0.500

For the calculated formation energy, the calculation gives 0.14 eV/f.u. The total energy is -9.028 eV/atom. Its space-group type is P4/mbm (127).


(8)
Entry from Alexandria via LeMat-Bulk: a relaxed structure of Sc2WN (PBE).

abc: 8.167 8.167 8.167
angles: 21.53 21.53 21.53
Fractional positions:
Sc: 0.114 0.114 0.114
Sc: 0.886 0.886 0.886
W: 0.000 0.000 0.000
N: 0.500 0.500 0.500

The total energy is -8.934 eV/atom. Its space-group type is R-3m (166).